Entry from Alexandria via LeMat-Bulk: Ac3InSn2Pd6 after structural relaxation (GGA-PBE).

Cell lengths 6.0575, 6.0575, 9.2226 Å; angles 90.00, 90.00, 120.00 degrees
With the nearest neighbours (Å) after each atom.
Positions (direct):
Ac1 0.3333 0.6667 0.6487  6 Pd 3.09
Ac2 0.6667 0.3333 0.3513  6 Pd 3.09
Ac3 0.0000 0.0000 0.0000  6 Pd 3.21, 6 Sn 3.52
In1 0.0000 0.0000 0.5000  6 Pd 2.70
Sn1 0.6667 0.3333 0.9589  3 Pd 2.79
Sn2 0.3333 0.6667 0.0411  3 Pd 2.79
Pd1 0.6485 0.8242 0.2855  1 In 2.70, 1 Sn 2.79, 2 Pd 2.86
Pd2 0.1758 0.3515 0.2855  1 In 2.70, 1 Sn 2.79, 2 Pd 2.86
Pd3 0.1758 0.8242 0.2855  1 In 2.70, 1 Sn 2.79, 2 Pd 2.86
Pd4 0.8242 0.6485 0.7145  1 In 2.70, 1 Sn 2.79, 2 Pd 2.86
Pd5 0.3515 0.1758 0.7145  1 In 2.70, 1 Sn 2.79, 2 Pd 2.86
Pd6 0.8242 0.1758 0.7145  1 In 2.70, 1 Sn 2.79, 2 Pd 2.86

ΔH_f (0 K) = -0.7116 eV per atom
Space group = P-3m1 (164)
VASP energy = -0.3844 Ry per atom


Entry from Alexandria via LeMat-Bulk: AcIn2SnPd2 after structural relaxation (GGA-PBE).

Cell lengths 5.2304, 5.2304, 6.9715 Å; angles 112.03, 112.03, 90.00 degrees
With the nearest neighbours (Å) after each atom.
Positions (direct):
Ac1 0.5000 0.5000 0.0000  2 Pd 3.31, 4 Sn 3.70
In1 0.2500 0.7500 0.5000  4 Pd 2.64
In2 0.7500 0.2500 0.5000  4 Pd 2.64
Sn1 0.0000 0.0000 0.0000  2 Pd 2.60
Pd1 0.7799 0.7799 0.5599  1 Sn 2.60, 4 In 2.64
Pd2 0.2201 0.2201 0.4401  1 Sn 2.60, 4 In 2.64

ΔH_f (0 K) = -0.4374 eV per atom
Space group = I4/mmm (139)
VASP energy = -0.3258 Ry per atom


Entry from Alexandria via LeMat-Bulk: AcInSn2Pd4 after structural relaxation (GGA-PBE).

Cell lengths 4.6156, 4.6156, 9.6724 Å; angles 76.20, 76.20, 60.00 degrees
With the nearest neighbours (Å) after each atom.
Positions (direct):
Ac1 0.0000 0.0000 0.0000  6 Pd 3.28, 6 Sn 3.66
In1 0.5000 0.5000 0.5000  8 Pd 2.73-2.78
Sn1 0.7564 0.7564 0.7307  7 Pd 2.73-2.98
Sn2 0.2436 0.2436 0.2693  7 Pd 2.73-2.98
Pd1 0.4022 0.4022 0.7935  3 Sn 2.73, 1 In 2.73
Pd2 0.8622 0.8622 0.4134  3 In 2.78, 4 Sn 2.95-2.98, 3 Pd 3.11
Pd3 0.1378 0.1378 0.5866  3 In 2.78, 4 Sn 2.95-2.98, 3 Pd 3.11
Pd4 0.5978 0.5978 0.2065  3 Sn 2.73, 1 In 2.73

ΔH_f (0 K) = -0.6306 eV per atom
Space group = R-3m (166)
VASP energy = -0.3736 Ry per atom


Entry from Alexandria via LeMat-Bulk: Ac2In3SnPd4 after structural relaxation (GGA-PBE).

Cell lengths 4.8159, 4.8159, 10.4484 Å; angles 90.00, 90.00, 90.00 degrees
With the nearest neighbours (Å) after each atom.
Positions (direct):
Ac1 0.5000 0.0000 0.2404  8 Pd 3.48-3.67, 2 Sn 3.63, 7 In 3.63-3.73
Ac2 0.0000 0.5000 0.7596  8 Pd 3.48-3.67, 7 In 3.63-3.73, 2 Sn 3.63
In1 0.0000 0.0000 0.5000  4 Pd 2.75
In2 0.5000 0.0000 0.8832  5 Pd 2.67-2.70
In3 0.0000 0.5000 0.1168  5 Pd 2.67-2.70
Sn1 0.5000 0.5000 0.5000  4 Pd 2.75
Pd1 0.5000 0.5000 0.0000  4 In 2.70
Pd2 0.0000 0.0000 0.0000  4 In 2.70
Pd3 0.5000 0.0000 0.6278  3 In 2.67-2.75, 2 Sn 2.75
Pd4 0.0000 0.5000 0.3722  3 In 2.67-2.75, 2 Sn 2.75

ΔH_f (0 K) = -0.7015 eV per atom
Space group = P-4m2 (115)
VASP energy = -0.3544 Ry per atom


Entry from Alexandria via LeMat-Bulk: Ac3InSn2Pd9 after structural relaxation (GGA-PBE).

Cell lengths 6.7545, 6.7545, 9.9412 Å; angles 90.00, 90.00, 120.00 degrees
With the nearest neighbours (Å) after each atom.
Positions (direct):
Ac1 0.3333 0.6667 0.7400  9 Pd 3.24-3.41
Ac2 0.0000 0.0000 0.0000  12 Pd 3.18-3.38
Ac3 0.6667 0.3333 0.2600  9 Pd 3.24-3.41
In1 0.0000 0.0000 0.5000  6 Pd 2.69
Sn1 0.3333 0.6667 0.1829  6 Pd 2.53-2.67
Sn2 0.6667 0.3333 0.8171  6 Pd 2.53-2.67
Pd1 0.8670 0.1330 0.7212  1 Sn 2.53, 1 In 2.69, 2 Pd 2.70
Pd2 0.8670 0.7339 0.7212  1 Sn 2.53, 1 In 2.69, 2 Pd 2.70
Pd3 0.2661 0.1330 0.7212  1 Sn 2.53, 1 In 2.69, 2 Pd 2.70
Pd4 0.7339 0.8670 0.2788  1 Sn 2.53, 1 In 2.69, 2 Pd 2.70
Pd5 0.1330 0.2661 0.2788  1 Sn 2.53, 1 In 2.69, 2 Pd 2.70
Pd6 0.1330 0.8670 0.2788  1 Sn 2.53, 1 In 2.69, 2 Pd 2.70
Pd7 0.5000 0.0000 0.0000  2 Sn 2.67
Pd8 0.0000 0.5000 0.0000  2 Sn 2.67
Pd9 0.5000 0.5000 0.0000  2 Sn 2.67

ΔH_f (0 K) = -0.5435 eV per atom
Space group = P-3m1 (164)
VASP energy = -0.3820 Ry per atom


Entry from Alexandria via LeMat-Bulk: Ac2TbInPd6 after structural relaxation (GGA-PBE).

Cell lengths 7.1874, 7.1874, 7.1874 Å; angles 60.00, 60.00, 90.00 degrees
With the nearest neighbours (Å) after each atom.
Positions (direct):
Ac1 0.2500 0.7500 0.5000  12 Pd 3.59
Ac2 0.7500 0.2500 0.5000  12 Pd 3.59
Tb1 0.5000 0.5000 0.0000  6 Pd 2.55
In1 0.0000 0.0000 0.0000  6 Pd 2.53
Pd1 0.2488 0.7512 0.0000  1 In 2.53, 1 Tb 2.55
Pd2 0.7512 0.7512 0.0000  1 In 2.53, 1 Tb 2.55
Pd3 0.2488 0.2488 0.5024  1 In 2.53, 1 Tb 2.55
Pd4 0.7512 0.2488 0.0000  1 In 2.53, 1 Tb 2.55
Pd5 0.2488 0.2488 0.0000  1 In 2.53, 1 Tb 2.55
Pd6 0.7512 0.7512 0.4976  1 In 2.53, 1 Tb 2.55

ΔH_f (0 K) = -0.2305 eV per atom
Space group = Fm-3m (225)
VASP energy = -0.3605 Ry per atom


> What is the VASP energy in the fifth record?

-0.3820 Ry per atom


> What is the VASP energy in the sixth record?

-0.3605 Ry per atom


> What is the VASP energy in the third record?

-0.3736 Ry per atom


> Which of these has the highest VASP energy?

AcIn2SnPd2